A geometry-optimized GeB4Mo structure. Source: OQMD via LeMat-Bulk, functional PBE-GGA.

Cell lengths 2.9972, 5.3953, 6.8916 Å; angles 90.00, 90.00, 90.00 degrees
Space group Immm (No. 71)
Asymmetric unit:
Ge  0.0000  0.0000  0.0000 [2 per cell]
B  0.0000  0.3385  0.2541 [8 per cell]
Mo  0.0000  0.0000  0.5000 [2 per cell]

Summary:
VASP energy = -82.2 eV for the cell shown